1.
Entry from Alexandria via LeMat-Bulk: crystalline CrGe2Se2 at its relaxed geometry (PBE-GGA).

The density of states at the Fermi level comes out at 0.76 states/eV/atom. Its formation energy (no corrections) is 275 meV per atom. As for the polymorph energy (0 for the lowest one): 0 kJ/mol of formula units.

It has space group P4/mbm (No. 127), with a = 6.0888 Å, b = 6.0888 Å, c = 5.5929 Å, α = 90.00°, β = 90.00° and γ = 90.00°. The inequivalent atoms are Cr at (0.0000, 0.0000, 0.0000), Ge at (0.2162, 0.2838, 0.5000) and Se at (0.1532, 0.3468, 0.0000).


2.
Entry from Alexandria via LeMat-Bulk: crystalline YPaNi2P2 at its relaxed geometry (PBE-GGA).

The density of states at the Fermi level comes out at 0.80 states/eV/atom. The value obtained for the formation energy is -7.05 eV/f.u.

It has space group P-3m1 (No. 164), with a = 3.8952 Å, b = 3.8952 Å, c = 7.7489 Å, α = 90.00°, β = 90.00° and γ = 120.00°. The inequivalent atoms are Y at (0.0000, 0.0000, 0.0000), Pa at (0.0000, 0.0000, 0.5000), Ni at (0.3333, 0.6667, 0.2733) and P at (0.3333, 0.6667, 0.7556).


3.
Entry from Alexandria via LeMat-Bulk: crystalline CeGa4Pd2Ru at its relaxed geometry (PBE-GGA).

The density of states at the Fermi level comes out at 0.78 states/eV/atom. The value obtained for the formation energy is -4.56 eV/f.u.

It has space group R-3m (No. 166, hexagonal axes), with a = 4.2749 Å, b = 4.2749 Å, c = 26.4860 Å, α = 90.00°, β = 90.00° and γ = 120.00°. The inequivalent atoms are Ce at (0.0000, 0.0000, 0.0000), Ga at (0.0000, 0.0000, 0.1336), Ga at (0.0000, 0.0000, 0.4002), Pd at (0.0000, 0.0000, 0.2361) and Ru at (0.0000, 0.0000, 0.5000).


4.
Entry from Alexandria via LeMat-Bulk: crystalline U2PaMn2C4 at its relaxed geometry (PBE-GGA).

The density of states at the Fermi level comes out at 1.28 states/eV/atom. The value obtained for the formation energy is -0.50 eV/f.u.

It has space group C2/m (No. 12), with a = 13.2243 Å, b = 3.2187 Å, c = 5.7711 Å, α = 90.00°, β = 109.48° and γ = 90.00°. The inequivalent atoms are U at (0.1311, 0.0000, 0.0291), Pa at (0.0000, 0.0000, 0.5000), Mn at (0.1840, 0.5000, 0.5095), C at (0.0429, 0.5000, 0.2239) and C at (0.2303, 0.0000, 0.7201).


5.
Entry from Alexandria via LeMat-Bulk: crystalline Pr2Al2Ag3 at its relaxed geometry (PBE-GGA).

The density of states at the Fermi level comes out at 0.64 states/eV/atom. The value obtained for the formation energy is -2.24 eV/f.u. As for the polymorph energy (0 for the lowest one): 0 kJ/mol of formula units.

It has space group C2/m (No. 12), with a = 11.0441 Å, b = 4.3313 Å, c = 7.3547 Å, α = 90.00°, β = 115.77° and γ = 90.00°. The inequivalent atoms are Pr at (0.1399, 0.0000, 0.2671), Al at (0.1421, 0.0000, 0.7100), Ag at (0.0000, 0.5000, 0.5000) and Ag at (0.1240, 0.5000, 0.9340).


6.
Entry from Alexandria via LeMat-Bulk: crystalline La2Mg12Cd7 at its relaxed geometry (PBE-GGA).

The density of states at the Fermi level comes out at 0.42 states/eV/atom. The value obtained for the formation energy is -2.98 eV/f.u.

It has space group P-3 (No. 147), with a = 11.6643 Å, b = 11.6643 Å, c = 4.4053 Å, α = 90.00°, β = 90.00° and γ = 120.00°. The inequivalent atoms are La at (0.3333, 0.6667, 0.2510), Mg at (0.0454, 0.4317, 0.7500), Mg at (0.1110, 0.2657, 0.2452), Cd at (0.0000, 0.0000, 0.5000) and Cd at (0.1349, 0.7115, 0.7498).


7.
Entry from Alexandria via LeMat-Bulk: crystalline ZnFeBr at its relaxed geometry (PBE-GGA).

The density of states at the Fermi level comes out at 0.37 states/eV/atom. Its formation energy (no corrections) is 192 meV per atom. As for the polymorph energy (0 for the lowest one): 0 kJ/mol of formula units.

It has space group P3m1 (No. 156), with a = 3.3238 Å, b = 3.3238 Å, c = 6.0439 Å, α = 90.00°, β = 90.00° and γ = 120.00°. The inequivalent atoms are Zn at (0.0000, 0.0000, 0.0000), Fe at (0.3333, 0.6667, 0.7176) and Br at (0.6667, 0.3333, 0.4430).


8.
Entry from Alexandria via LeMat-Bulk: crystalline Sr2RhF at its relaxed geometry (PBE-GGA).

The density of states at the Fermi level comes out at 0.01 states/eV/atom. Its formation energy (no corrections) is -1343 meV per atom. As for the polymorph energy (0 for the lowest one): 0 kJ/mol of formula units.

It has space group I-42d (No. 122), with a = 7.0571 Å, b = 7.0571 Å, c = 8.2915 Å, α = 90.00°, β = 90.00° and γ = 90.00°. The inequivalent atoms are Sr at (0.2063, 0.2500, 0.1250), Rh at (0.0000, 0.0000, 0.5000) and F at (0.0000, 0.0000, 0.0000).


9.
Entry from Alexandria via LeMat-Bulk: crystalline SnHg2IrW at its relaxed geometry (PBE-GGA).

The density of states at the Fermi level comes out at 1.11 states/eV/atom. The value obtained for the formation energy is 8.95 eV/f.u.

It has space group P4/mmm (No. 123), with a = 5.2108 Å, b = 5.2108 Å, c = 5.1792 Å, α = 90.00°, β = 90.00° and γ = 90.00°. The inequivalent atoms are Sn at (0.0000, 0.0000, 0.0000), Hg at (0.0000, 0.5000, 0.5000), Ir at (0.5000, 0.5000, 0.0000) and W at (0.0000, 0.0000, 0.5000).


10.
Entry from Alexandria via LeMat-Bulk: crystalline NbCuSe2 at its relaxed geometry (PBE-GGA).

The density of states at the Fermi level comes out at 0.43 states/eV/atom. Its formation energy (no corrections) is -425 meV per atom.

It has space group R-3m (No. 166, hexagonal axes), with a = 3.4580 Å, b = 3.4580 Å, c = 24.0539 Å, α = 90.00°, β = 90.00° and γ = 120.00°. The inequivalent atoms are Nb at (0.0000, 0.0000, 0.0000), Cu at (0.0000, 0.0000, 0.5000) and Se at (0.0000, 0.0000, 0.4042).


11.
Entry from Alexandria via LeMat-Bulk: crystalline YErZnOs at its relaxed geometry (PBE-GGA).

The density of states at the Fermi level comes out at 0.77 states/eV/atom. The value obtained for the formation energy is -1.16 eV/f.u.

It has space group F-43m (No. 216), with a = 6.9200 Å, b = 6.9200 Å, c = 6.9200 Å, α = 90.00°, β = 90.00° and γ = 90.00°. The inequivalent atoms are Y at (0.0000, 0.0000, 0.0000), Er at (0.0000, 0.0000, 0.5000), Zn at (0.2500, 0.2500, 0.7500) and Os at (0.2500, 0.2500, 0.2500).


12.
Entry from Alexandria via LeMat-Bulk: crystalline Cs3Sm3OsO8 at its relaxed geometry (PBE-GGA).

The density of states at the Fermi level comes out at 0.22 states/eV/atom. Its formation energy (no corrections) is -2174 meV per atom.

It has space group R-3m (No. 166, hexagonal axes), with a = 7.0505 Å, b = 7.0505 Å, c = 20.7462 Å, α = 90.00°, β = 90.00° and γ = 120.00°. The inequivalent atoms are Cs at (0.0000, 0.5000, 0.0000), Sm at (0.0000, 0.5000, 0.5000), Os at (0.0000, 0.0000, 0.5000), O at (0.0000, 0.0000, 0.2220) and O at (0.0322, 0.5161, 0.2175).


13.
Entry from Alexandria via LeMat-Bulk: crystalline Pr3Al4Rh2 at its relaxed geometry (PBE-GGA).

The density of states at the Fermi level comes out at 0.79 states/eV/atom. The value obtained for the formation energy is -5.74 eV/f.u.

It has space group C2/m (No. 12), with a = 10.6824 Å, b = 4.5634 Å, c = 8.4473 Å, α = 90.00°, β = 101.58° and γ = 90.00°. The inequivalent atoms are Pr at (0.0000, 0.0000, 0.0000), Pr at (0.1101, 0.5000, 0.7019), Al at (0.1089, 0.0000, 0.4133), Al at (0.2175, 0.5000, 0.0856) and Rh at (0.1904, 0.5000, 0.3710).


14.
Entry from Alexandria via LeMat-Bulk: crystalline Li8MgHg2 at its relaxed geometry (PBE-GGA).

The density of states at the Fermi level comes out at 0.47 states/eV/atom. The value obtained for the formation energy is -2.09 eV/f.u. As for the polymorph energy (0 for the lowest one): 0 kJ/mol of formula units.

It has space group C2/m (No. 12), with a = 13.4257 Å, b = 4.8268 Å, c = 7.5793 Å, α = 90.00°, β = 123.59° and γ = 90.00°. The inequivalent atoms are Li at (0.0384, 0.0000, 0.2207), Li at (0.1062, 0.5000, 0.9620), Li at (0.1452, 0.0000, 0.7156), Li at (0.1867, 0.5000, 0.4010), Mg at (0.0000, 0.5000, 0.5000) and Hg at (0.2241, 0.0000, 0.1666).


15.
Entry from Alexandria via LeMat-Bulk: crystalline LiYCd at its relaxed geometry (PBE-GGA).

The density of states at the Fermi level comes out at 1.01 states/eV/atom. The value obtained for the formation energy is -0.56 eV/f.u. As for the polymorph energy (0 for the lowest one): 0 kJ/mol of formula units.

It has space group P2_1/m (No. 11), with a = 3.5353 Å, b = 3.5356 Å, c = 11.4432 Å, α = 90.00°, β = 90.08° and γ = 90.00°. The inequivalent atoms are Li at (0.2493, 0.2500, 0.0724), Y at (0.2494, 0.2500, 0.3865) and Cd at (0.2508, 0.2500, 0.7983).


16.
Entry from Alexandria via LeMat-Bulk: crystalline EuHoCoCu at its relaxed geometry (PBE-GGA).

The density of states at the Fermi level comes out at 1.35 states/eV/atom. The value obtained for the formation energy is -0.01 eV/f.u.

It has space group F-43m (No. 216), with a = 6.8938 Å, b = 6.8938 Å, c = 6.8938 Å, α = 90.00°, β = 90.00° and γ = 90.00°. The inequivalent atoms are Eu at (0.0000, 0.0000, 0.0000), Ho at (0.0000, 0.0000, 0.5000), Co at (0.2500, 0.2500, 0.7500) and Cu at (0.2500, 0.2500, 0.2500).


17.
Entry from Alexandria via LeMat-Bulk: crystalline LaPmSeO2 at its relaxed geometry (PBE-GGA).

The density of states at the Fermi level comes out at 0.00 states/eV/atom. Its formation energy (no corrections) is -3052 meV per atom.

It has space group I4mm (No. 107), with a = 3.9874 Å, b = 3.9874 Å, c = 12.6812 Å, α = 90.00°, β = 90.00° and γ = 90.00°. The inequivalent atoms are La at (0.0000, 0.0000, 0.0000), Pm at (0.0000, 0.0000, 0.6923), Se at (0.0000, 0.0000, 0.3439) and O at (0.0000, 0.5000, 0.0991).


18.
Entry from Alexandria via LeMat-Bulk: crystalline NaBeIN2 at its relaxed geometry (PBE-GGA).

The density of states at the Fermi level comes out at 0.36 states/eV/atom. Its formation energy (no corrections) is 947 meV per atom. As for the polymorph energy (0 for the lowest one): 0 kJ/mol of formula units.

It has space group P4/mmm (No. 123), with a = 3.8946 Å, b = 3.8946 Å, c = 5.8239 Å, α = 90.00°, β = 90.00° and γ = 90.00°. The inequivalent atoms are Na at (0.0000, 0.0000, 0.0000), Be at (0.5000, 0.5000, 0.5000), I at (0.5000, 0.5000, 0.0000) and N at (0.0000, 0.5000, 0.5000).


19.
Entry from Alexandria via LeMat-Bulk: crystalline ScZn2Re at its relaxed geometry (PBE-GGA).

The density of states at the Fermi level comes out at 0.59 states/eV/atom. The value obtained for the formation energy is 0.09 eV/f.u. As for the polymorph energy (0 for the lowest one): 42 kJ/mol of formula units.

It has space group Cmmm (No. 65), with a = 5.4871 Å, b = 8.1621 Å, c = 2.8005 Å, α = 90.00°, β = 90.00° and γ = 90.00°. The inequivalent atoms are Sc at (0.0000, 0.0000, 0.0000), Zn at (0.2500, 0.2500, 0.5000) and Re at (0.0000, 0.5000, 0.0000).


20.
Entry from Alexandria via LeMat-Bulk: crystalline Er2TlPb3 at its relaxed geometry (PBE-GGA).

The density of states at the Fermi level comes out at 0.44 states/eV/atom. The value obtained for the formation energy is -1.90 eV/f.u. As for the polymorph energy (0 for the lowest one): 0 kJ/mol of formula units.

It has space group Cmmm (No. 65), with a = 4.6242 Å, b = 15.4450 Å, c = 4.6899 Å, α = 90.00°, β = 90.00° and γ = 90.00°. The inequivalent atoms are Er at (0.0000, 0.1510, 0.0000), Tl at (0.0000, 0.0000, 0.5000), Pb at (0.0000, 0.3256, 0.5000) and Pb at (0.0000, 0.5000, 0.0000).


21.
Entry from Alexandria via LeMat-Bulk: crystalline BaTc2Os at its relaxed geometry (PBE-GGA).

The density of states at the Fermi level comes out at 1.47 states/eV/atom. The value obtained for the formation energy is 3.36 eV/f.u. As for the polymorph energy (0 for the lowest one): 51 kJ/mol of formula units.

It has space group Pm (No. 6), with a = 3.0082 Å, b = 3.9861 Å, c = 7.4433 Å, α = 90.00°, β = 101.13° and γ = 90.00°. The inequivalent atoms are Ba at (0.0000, 0.0000, 0.0000), Tc at (0.3052, 0.5000, 0.6238), Tc at (0.7512, 0.0000, 0.5105) and Os at (0.6558, 0.5000, 0.3138).


22.
Entry from Alexandria via LeMat-Bulk: crystalline KSm2AgSe4 at its relaxed geometry (PBE-GGA).

Its formation energy (no corrections) is -1488 meV per atom.

It has space group Cmcm (No. 63), with a = 4.2628 Å, b = 14.2566 Å, c = 14.9659 Å, α = 90.00°, β = 90.00° and γ = 90.00°. The inequivalent atoms are K at (0.0000, 0.1199, 0.2500), Sm at (0.0000, 0.3680, 0.0674), Ag at (0.0000, 0.1591, 0.7500), Se at (0.0000, 0.0000, 0.0000), Se at (0.0000, 0.2668, 0.6058) and Se at (0.0000, 0.4488, 0.2500).


23.
Entry from Alexandria via LeMat-Bulk: crystalline Th6AuC3 at its relaxed geometry (PBE-GGA).

The density of states at the Fermi level comes out at 0.91 states/eV/atom. The value obtained for the formation energy is -2.43 eV/f.u. As for the polymorph energy (0 for the lowest one): 7 kJ/mol of formula units.

It has space group P2_1/m (No. 11), with a = 11.2258 Å, b = 3.6540 Å, c = 11.6286 Å, α = 90.00°, β = 102.56° and γ = 90.00°. The inequivalent atoms are Th at (0.0303, 0.2500, 0.1385), Th at (0.1214, 0.7500, 0.4456), Th at (0.1887, 0.2500, 0.7405), Th at (0.2865, 0.7500, 0.0164), Th at (0.3229, 0.2500, 0.2893), Th at (0.4192, 0.2500, 0.5959), Au at (0.4523, 0.7500, 0.8359), C at (0.0410, 0.7500, 0.6422), C at (0.1293, 0.2500, 0.9404) and C at (0.3640, 0.7500, 0.4388).


24.
Entry from Alexandria via LeMat-Bulk: crystalline Tm4MgCu2Ru at its relaxed geometry (PBE-GGA).

The density of states at the Fermi level comes out at 0.72 states/eV/atom. The value obtained for the formation energy is -2.16 eV/f.u.

It has space group R-3m (No. 166, hexagonal axes), with a = 4.9273 Å, b = 4.9273 Å, c = 24.2004 Å, α = 90.00°, β = 90.00° and γ = 120.00°. The inequivalent atoms are Tm at (0.0000, 0.0000, 0.1151), Tm at (0.0000, 0.0000, 0.3671), Mg at (0.0000, 0.0000, 0.5000), Cu at (0.0000, 0.0000, 0.2407) and Ru at (0.0000, 0.0000, 0.0000).